1.
PPd2Pb: relaxed, PBE. Values from VASP.

Summary:
Its space-group type is No. 14. The total magnetic moment comes out at 0.00 Bohr magnetons per cell. The density of states at the Fermi level is 1.9 states/eV/f.u. The value obtained for the total energy is -5.206 eV per atom. Its formation enthalpy at 0 K is -0.330 eV/atom.

Cell and atoms, written as Quantum ESPRESSO input:
```
&SYSTEM
  ibrav = 0, nat = 16, ntyp = 3
/
ATOMIC_SPECIES
Pd 106.42 Pd.upf
Pb 207.20 Pb.upf
P 30.97 P.upf
CELL_PARAMETERS angstrom
5.843 0.000 0.041
0.000 6.490 0.000
0.059 0.000 7.940
ATOMIC_POSITIONS angstrom
Pd 5.761 1.384 6.333
Pd 2.898 1.916 3.401
Pd 0.141 5.106 1.647
Pd 3.004 4.574 4.579
Pd 5.820 1.329 3.421
Pd 0.082 5.161 4.559
Pd 2.840 1.861 6.313
Pd 3.062 4.629 1.667
Pb 1.298 2.499 0.907
Pb 4.220 0.746 0.927
Pb 1.682 5.744 7.053
Pb 4.604 3.991 7.073
P 1.779 6.142 3.060
P 4.700 3.592 3.080
P 4.123 0.347 4.920
P 1.202 2.898 4.900
```

***

2.
PPdPb: relaxed, PBE. Values from VASP.

Summary:
Its space-group type is No. 198. The total magnetic moment comes out at 0.00 Bohr magnetons per cell. The density of states at the Fermi level is 1.2 states/eV/f.u. The value obtained for the relative energy among the computed polymorphs is 74 meV per atom. The value obtained for the total energy is -4.914 eV per atom. Its formation enthalpy at 0 K is -0.144 eV/atom.

Cell and atoms, written as Quantum ESPRESSO input:
```
&SYSTEM
  ibrav = 0, nat = 12, ntyp = 3
/
ATOMIC_SPECIES
P 30.97 P.upf
Pb 207.20 Pb.upf
Pd 106.42 Pd.upf
CELL_PARAMETERS angstrom
-6.059 1.239 -1.734
-1.233 -6.300 -0.194
-1.739 0.150 6.181
ATOMIC_POSITIONS angstrom
P -3.914 -2.129 1.843
P -2.725 -3.347 5.544
P -4.699 -5.169 -0.752
P -6.723 0.822 1.870
Pb -4.260 -4.788 3.302
Pb -6.514 -3.043 0.531
Pb -1.417 -0.771 0.667
Pb -5.869 -1.221 4.005
Pd -7.942 -4.320 3.741
Pd -4.568 0.067 1.246
Pd -2.277 -2.149 3.553
Pd -3.274 -3.421 -0.034
```